Density functional theory data (GGA-PBE) for an optimized crystal structure of BaLiCeSbO6.

- uncorrected formation energy (eV per atom) = -2.353
- magnetic moment (μB/cell) = 0.00
- DFT total energy (eV per atom) = -6.717

Cell: 5.988 5.988 5.988 Å, 60.00 60.00 60.00°
Sites, in units of the cell vectors:
Ba1 0.750 0.750 0.750
Li1 0.250 0.250 0.250
Ce1 0.000 0.000 0.000
Sb1 0.500 0.500 0.500
O1 0.263 0.737 0.263
O2 0.737 0.263 0.737
O3 0.263 0.737 0.737
O4 0.737 0.263 0.263
O5 0.263 0.263 0.737
O6 0.737 0.737 0.263